DFT (PBE-GGA) results for an optimized crystal structure of Ac4LaEr2.

Calculated values
total moment	0.000	μB/atom
N(E_F)	24.713	states/eV/cell
energy of formation from the pure elements	185	meV/atom

abc: 7.621 7.621 12.573
angles: 97.34 97.34 125.35
Fractional positions:
La 0.394 0.644 0.500
Ac 0.236 0.745 0.189
Ac 0.292 0.802 0.811
Ac 0.796 0.806 0.311
Ac 0.806 0.796 0.811
La 0.644 0.394 0.000
Er 0.671 0.921 0.054
Ac 0.802 0.292 0.311
Ac 0.241 0.231 0.189
Er 0.921 0.671 0.554
Er 0.367 0.117 0.446
Er 0.117 0.367 0.946
Ac 0.745 0.236 0.689
Ac 0.231 0.241 0.689